No. 1
First-principles (PBE-GGA) data for a relaxed structure of TlRhSN2, as listed in the Alexandria database.

* spin magnetization: 0.0 μB per cell
* energy above the lowest structure with this stoichiometry: 0.000 eV per atom
* crystal system: tetragonal

Cell lengths 3.891, 5.271, 3.891 Å; angles 90.00, 90.00, 90.00 degrees
Sites, in units of the cell vectors:
Tl 0.500 0.500 0.500
N 0.500 0.000 0.000
Rh 0.000 0.000 0.000
N 0.000 0.000 0.500
S 0.000 0.500 0.000

No. 2
First-principles (PBE-GGA) data for a relaxed structure of TlRhS2N, as listed in the Alexandria database.

* spin magnetization: 0.0 μB per cell
* energy above the lowest structure with this stoichiometry: 0.000 eV per atom
* crystal system: tetragonal

Cell lengths 5.002, 5.002, 3.684 Å; angles 90.00, 90.00, 90.00 degrees
Sites, in units of the cell vectors:
Rh 0.000 0.000 0.000
N 0.000 0.000 0.500
S 0.000 0.500 0.000
S 0.500 0.000 0.000
Tl 0.500 0.500 0.500

No. 3
First-principles (PBE-GGA) data for a relaxed structure of TlRhS2N, as listed in the Alexandria database.

* spin magnetization: 2.1 μB per cell
* energy above the lowest structure with this stoichiometry: 1.492 eV per atom
* crystal system: tetragonal

Cell lengths 5.156, 5.156, 4.069 Å; angles 90.00, 90.00, 90.00 degrees
Sites, in units of the cell vectors:
Rh 0.500 0.500 0.500
N 0.000 0.000 0.500
Tl 0.000 0.000 0.000
S 0.000 0.500 0.000
S 0.500 0.000 0.000

No. 4
First-principles (PBE-GGA) data for a relaxed structure of VRhSN2, as listed in the Alexandria database.

* spin magnetization: 0.0 μB per cell
* energy above the lowest structure with this stoichiometry: 0.643 eV per atom
* crystal system: tetragonal

Cell lengths 3.775, 3.775, 4.872 Å; angles 90.00, 90.00, 90.00 degrees
Sites, in units of the cell vectors:
N 0.500 0.000 0.000
N 0.000 0.500 0.000
V 0.500 0.500 0.500
S 0.000 0.000 0.500
Rh 0.000 0.000 0.000

No. 5
First-principles (PBE-GGA) data for a relaxed structure of VRhS2N, as listed in the Alexandria database.

* spin magnetization: 0.1 μB per cell
* energy above the lowest structure with this stoichiometry: 0.348 eV per atom
* crystal system: tetragonal

Cell lengths 4.805, 4.805, 3.614 Å; angles 90.00, 90.00, 90.00 degrees
Sites, in units of the cell vectors:
N 0.000 0.000 0.500
Rh 0.000 0.000 0.000
S 0.500 0.000 0.000
V 0.500 0.500 0.500
S 0.000 0.500 0.000

No. 6
First-principles (PBE-GGA) data for a relaxed structure of VRhS2N, as listed in the Alexandria database.

* spin magnetization: 0.0 μB per cell
* energy above the lowest structure with this stoichiometry: 0.000 eV per atom
* crystal system: tetragonal

Cell lengths 4.651, 4.651, 3.557 Å; angles 90.00, 90.00, 90.00 degrees
Sites, in units of the cell vectors:
S 0.000 0.500 0.000
S 0.500 0.000 0.000
V 0.000 0.000 0.000
N 0.000 0.000 0.500
Rh 0.500 0.500 0.500

No. 7
First-principles (PBE-GGA) data for a relaxed structure of VRhSN2, as listed in the Alexandria database.

* spin magnetization: 0.0 μB per cell
* energy above the lowest structure with this stoichiometry: 0.000 eV per atom
* crystal system: tetragonal

Cell lengths 3.677, 3.677, 4.954 Å; angles 90.00, 90.00, 90.00 degrees
Sites, in units of the cell vectors:
N 0.500 0.000 0.000
V 0.000 0.000 0.000
N 0.000 0.500 0.000
Rh 0.500 0.500 0.500
S 0.000 0.000 0.500

No. 8
First-principles (PBE-GGA) data for a relaxed structure of RhWS2N, as listed in the Alexandria database.

* spin magnetization: 3.0 μB per cell
* energy above the lowest structure with this stoichiometry: 0.541 eV per atom
* crystal system: tetragonal

Cell lengths 4.805, 4.805, 3.587 Å; angles 90.00, 90.00, 90.00 degrees
Sites, in units of the cell vectors:
N 0.000 0.000 0.500
Rh 0.000 0.000 0.000
S 0.500 0.000 0.000
S 0.000 0.500 0.000
W 0.500 0.500 0.500

no.,E_form (uncorrected) (eV/atom),E_tot (eV for the cell shown)
1,0.93,-25.8
2,0.36,-24.5
3,1.85,-17.0
4,1.19,-31.3
5,0.69,-29.6
6,0.34,-31.3
7,0.55,-34.5
8,1.09,-31.4